Record 1
{"formula": "Tm2B2O5", "functional": "GGA-PBE", "state": "optimized geometry", "lattice_angstrom": [[8.6558, 0.0000, 0.0000], [0.0000, 3.6371, 0.0000], [0.0000, 0.0000, 3.6371]], "species": ["Tm", "Tm", "O", "O", "O", "O", "O", "B", "B"], "fractional_positions": [[0.7495, 0.5000, 0.5000], [0.2505, 0.5000, 0.5000], [0.1295, 0.5000, 0.0000], [0.1295, 0.0000, 0.5000], [0.5000, 0.5000, 0.5000], [0.8705, 0.0000, 0.5000], [0.8705, 0.5000, 0.0000], [0.5000, 0.0000, 0.0000], [0.0000, 0.0000, 0.0000]], "magmom_total_mub_per_fu": 0.09, "relative_energy_mev_per_atom": 1038.6}


Record 2
{"formula": "GdCdCu", "functional": "GGA-PBE", "state": "optimized geometry", "lattice_angstrom": [[6.9844, 0.0000, 0.0000], [0.0000, 4.3949, 0.0000], [0.0000, 0.0000, 8.2805]], "species": ["Cd", "Cd", "Cd", "Cd", "Cu", "Cu", "Cu", "Cu", "Gd", "Gd", "Gd", "Gd"], "fractional_positions": [[0.3514, 0.2500, 0.0600], [0.1486, 0.7500, 0.5600], [0.6486, 0.7500, 0.9400], [0.8514, 0.2500, 0.4400], [0.2432, 0.2500, 0.3775], [0.7568, 0.7500, 0.6225], [0.7432, 0.2500, 0.1225], [0.2568, 0.7500, 0.8775], [0.0379, 0.7500, 0.1813], [0.5379, 0.7500, 0.3187], [0.9621, 0.2500, 0.8187], [0.4621, 0.2500, 0.6813]], "magmom_total_mub_per_fu": 0.00, "delta_e_f_mev_per_atom": -271, "relative_energy_mev_per_atom": 25.8}


Record 3
{"formula": "Cu2Ag3", "functional": "GGA-PBE", "state": "optimized geometry", "lattice_angstrom": [[11.3486, -1.4206, 0.0000], [11.3486, 1.4206, 0.0000], [-0.3580, 0.0000, 4.8403]], "species": ["Ag", "Ag", "Ag", "Ag", "Ag", "Ag", "Cu", "Cu", "Cu", "Cu"], "fractional_positions": [[0.8025, 0.8025, 0.6006], [0.4068, 0.4068, 0.8033], [0.1984, 0.1984, 0.3984], [0.3023, 0.3023, 0.1003], [0.5942, 0.5942, 0.1967], [0.0954, 0.0954, 0.7014], [0.9066, 0.9066, 0.3021], [0.6990, 0.6990, 0.8996], [0.9984, 0.9984, 0.0121], [0.4964, 0.4964, 0.4855]], "delta_e_f_mev_per_atom": 98, "relative_energy_mev_per_atom": 66.1}


Record 4
{"formula": "ScFeOsPb", "functional": "GGA-PBE", "state": "optimized geometry", "lattice_angstrom": [[0.0000, 3.2780, 3.2780], [3.2780, 0.0000, 3.2780], [3.2780, 3.2780, 0.0000]], "species": ["Fe", "Os", "Sc", "Pb"], "fractional_positions": [[0.7500, 0.7500, 0.7500], [0.5000, 0.5000, 0.5000], [0.2500, 0.2500, 0.2500], [0.0000, 0.0000, 0.0000]], "magmom_total_mub_per_fu": 3.94, "relative_energy_mev_per_atom": 95.0}


Record 5
{"formula": "TaSiTe", "functional": "GGA-PBE", "state": "optimized geometry", "lattice_angstrom": [[-7.0759, 0.2481, -3.4373], [0.9683, -3.8633, -2.2722], [-2.8182, -3.9507, 5.5162]], "species": ["Si", "Si", "Si", "Si", "Te", "Te", "Te", "Te", "Ta", "Ta", "Ta", "Ta"], "fractional_positions": [[0.8240, 0.2500, 0.2942], [0.1760, 0.7500, 0.7058], [0.3240, 0.2500, 0.2058], [0.6760, 0.7500, 0.7942], [0.4121, 0.2500, 0.6844], [0.5879, 0.7500, 0.3156], [0.0879, 0.7500, 0.1844], [0.9121, 0.2500, 0.8156], [0.5991, 0.2500, 0.0384], [0.9009, 0.7500, 0.5384], [0.0991, 0.2500, 0.4616], [0.4009, 0.7500, 0.9616]], "magmom_total_mub_per_fu": 0.00, "final_energy_ev_per_atom": -6.6879}


Record 6
{"formula": "LiLuCuAs", "functional": "GGA-PBE", "state": "optimized geometry", "lattice_angstrom": [[2.5195, -3.5038, -1.4763], [2.1466, -2.6873, 2.9957], [-1.4343, -4.2789, 0.6617]], "species": ["As", "Lu", "Cu", "Li"], "fractional_positions": [[0.0000, 0.0000, 0.0000], [0.5000, 0.5000, 0.5000], [0.7500, 0.7500, 0.7500], [0.2500, 0.2500, 0.2500]], "magmom_total_mub_per_fu": 0.00, "relative_energy_mev_per_atom": 0.0}